Crystalline FeAgIr2 at its relaxed geometry. Source: Alexandria, functional PBE.

a b c (Å): 3.8959 3.8959 7.7495
angles (deg): 90.00 90.00 90.00
Space group I-4m2 (No. 119)
Inequivalent atoms, fractional coordinates:
Fe: 0.0000 0.0000 0.0000 x2
Ag: 0.0000 0.5000 0.2500 x2
Ir: 0.0000 0.0000 0.5000 x2
Ir: 0.0000 0.5000 0.7500 x2

Values from the calculation:
Electronic total energy = -27.65 eV per formula unit
Offset from the most stable computed form = 0.2220 eV/atom